Computed, not measured: an optimized crystal structure of Tm8Sb3Te4 at the PBE-GGA level of DFT.

abc: 8.5002 8.5424 8.5424
angles: 89.94 119.92 119.92
Last column: nearest neighbours and their distance in Å.
Fractional coordinates of all 15 atoms:
Tm: 0.5282 0.2665 0.2665  3 Sb 3.00-3.02, 2 Te 3.06-3.18
Tm: 0.0000 0.7388 0.2612  2 Sb 3.02, 3 Te 3.02-3.15
Tm: 0.0055 0.2618 0.2618  1 Sb 2.98, 4 Te 3.02-3.13
Tm: 0.5000 0.7464 0.2536  3 Sb 2.98-3.02, 3 Te 3.01-3.06
Tm: 0.5000 0.2536 0.7464  3 Sb 2.98-3.02, 3 Te 3.01-3.06
Tm: 0.9945 0.7382 0.7382  1 Sb 2.98, 4 Te 3.02-3.13
Tm: 0.0000 0.2612 0.7388  2 Sb 3.02, 3 Te 3.02-3.15
Tm: 0.4718 0.7335 0.7335  3 Sb 3.00-3.02, 2 Te 3.06-3.18
Sb: 0.5000 0.5000 0.0000  6 Tm 3.02
Sb: 0.5000 0.0000 0.5000  6 Tm 3.02
Sb: 0.5000 0.5000 0.5000  6 Tm 2.98-3.00
Te: 0.5000 0.0000 0.0000  6 Tm 3.05-3.06
Te: 0.0000 0.5000 0.0000  6 Tm 3.01-3.02
Te: 0.0000 0.0000 0.0000  6 Tm 3.13-3.18
Te: 0.0000 0.0000 0.5000  6 Tm 3.01-3.02

## Properties
* magnetization: 0.00 μB per cell
* E: -76.04 eV per cell
* DOS(E_F): 8.037 states/eV per cell
* E_form (uncorrected): -1022 meV/atom